Material: Ni4C3
Method: DFT, PBE
State: relaxed

POSCAR file:
```
Ni4C3
1.0
1.433 0.827 8.847
-1.433 0.827 8.847
0.000 -1.654 8.847
Ni C
4 3
Direct
0.127 0.127 0.127
0.290 0.290 0.290
0.710 0.710 0.710
0.873 0.873 0.873
0.000 0.000 0.000
0.426 0.426 0.426
0.574 0.574 0.574
```

Energy above the lowest structure with this stoichiometry: 1.609 eV per formula unit
Space group: No. 166

Material: LiW2
Method: DFT, PBE
State: relaxed

POSCAR file:
```
LiW2
1.0
0.000 4.959 4.959
4.959 0.000 4.959
4.959 4.959 0.000
Li W
2 4
Direct
0.125 0.125 0.125
0.875 0.875 0.875
0.000 0.000 0.000
0.000 0.000 0.500
0.000 0.500 0.000
0.500 0.000 0.000
```

Energy above the lowest structure with this stoichiometry: 12.382 eV per formula unit
Space group: No. 227

Material: AlTlPt
Method: DFT, PBE
State: relaxed

POSCAR file:
```
AlTlPt
1.0
6.797 0.000 0.000
-3.399 5.887 0.000
0.000 0.000 4.326
Al Tl Pt
3 3 3
Direct
0.000 0.000 0.000
0.333 0.667 0.500
0.667 0.333 0.500
0.000 0.571 0.000
0.429 0.429 0.000
0.571 0.000 0.000
0.000 0.249 0.500
0.249 0.000 0.500
0.751 0.751 0.500
```

Energy above the lowest structure with this stoichiometry: 0.000 eV per formula unit
Space group: No. 189

Material: RbYPtS3
Method: DFT, PBE
State: relaxed

POSCAR file:
```
RbYPtS3
1.0
1.971 -7.814 0.000
1.971 7.814 0.000
0.000 0.000 10.130
Rb Y Pt S
2 2 2 6
Direct
0.247 0.753 0.750
0.753 0.247 0.250
0.000 0.000 0.000
0.000 0.000 0.500
0.492 0.508 0.250
0.508 0.492 0.750
0.080 0.920 0.250
0.387 0.613 0.077
0.387 0.613 0.423
0.613 0.387 0.577
0.613 0.387 0.923
0.920 0.080 0.750
```

Space group: No. 63
Total energy: -5.49 eV per atom

Material: Tl2AgPb
Method: DFT, PBE
State: relaxed

POSCAR file:
```
Tl2AgPb
1.0
0.000 3.783 3.783
3.783 0.000 3.783
3.783 3.783 0.000
Tl Ag Pb
2 1 1
Direct
0.000 0.000 0.000
0.250 0.250 0.250
0.750 0.750 0.750
0.500 0.500 0.500
```

Space group: No. 216
Total energy: -2.69 eV per atom

Material: ZrGa2Pd
Method: DFT, PBE
State: relaxed

POSCAR file:
```
ZrGa2Pd
1.0
0.000 3.271 3.271
3.271 0.000 3.271
3.271 3.271 0.000
Zr Ga Pd
1 2 1
Direct
0.000 0.000 0.000
0.250 0.250 0.250
0.500 0.500 0.500
0.750 0.750 0.750
```

Space group: No. 216
Total energy: -5.41 eV per atom

Material: MgBeAu2
Method: DFT, PBE
State: relaxed

POSCAR file:
```
MgBeAu2
1.0
0.000 3.180 3.180
3.180 0.000 3.180
3.180 3.180 0.000
Mg Be Au
1 1 2
Direct
0.000 0.000 0.000
0.750 0.750 0.750
0.250 0.250 0.250
0.500 0.500 0.500
```

Space group: No. 216
Total energy: -3.06 eV per atom

Material: TcPtNO
Method: DFT, PBE
State: relaxed

POSCAR file:
```
TcPtNO
1.0
5.371 0.000 0.000
0.000 7.847 0.000
0.000 0.000 5.214
Tc Pt N O
4 4 4 4
Direct
0.158 0.133 0.000
0.342 0.133 0.500
0.658 0.867 0.000
0.842 0.867 0.500
0.021 0.456 0.354
0.479 0.456 0.854
0.521 0.544 0.354
0.979 0.544 0.854
0.025 0.682 0.545
0.475 0.682 0.045
0.525 0.318 0.545
0.975 0.318 0.045
0.008 0.074 0.642
0.492 0.074 0.142
0.508 0.926 0.642
0.992 0.926 0.142
```

Energy above the lowest structure with this stoichiometry: 0.340 eV per formula unit
Space group: No. 29

Material: NdBTe
Method: DFT, PBE
State: relaxed

POSCAR file:
```
NdBTe
1.0
0.000 3.496 3.496
3.496 0.000 3.496
3.496 3.496 0.000
Nd B Te
1 1 1
Direct
0.000 0.000 0.000
0.500 0.500 0.500
0.750 0.750 0.750
```

Energy above the lowest structure with this stoichiometry: 1.248 eV per formula unit
Space group: No. 216

Material: Hf4CdC2S
Method: DFT, PBE
State: relaxed

POSCAR file:
```
Hf4CdC2S
1.0
3.337 0.000 0.000
-1.668 2.890 0.000
0.000 0.000 13.554
Hf Cd C S
4 1 2 1
Direct
0.000 0.000 0.135
0.000 0.000 0.865
0.333 0.667 0.315
0.333 0.667 0.685
0.000 0.000 0.500
0.667 0.333 0.226
0.667 0.333 0.774
0.333 0.667 0.000
```

Space group: No. 187
Total energy: -8.87 eV per atom

Material: SrPrCo2Ge4
Method: DFT, PBE
State: relaxed

POSCAR file:
```
SrPrCo2Ge4
1.0
4.227 0.000 0.000
0.000 2.168 8.452
0.000 -2.168 8.452
Sr Pr Co Ge
1 1 2 4
Direct
0.000 0.000 0.000
0.500 0.216 0.216
0.000 0.788 0.788
0.500 0.423 0.423
0.000 0.354 0.354
0.000 0.653 0.653
0.500 0.562 0.562
0.500 0.855 0.855
```

Space group: No. 38
Total energy: -5.43 eV per atom

Material: BaNiPd
Method: DFT, PBE
State: relaxed

POSCAR file:
```
BaNiPd
1.0
0.000 3.341 3.341
3.341 0.000 3.341
3.341 3.341 0.000
Ba Ni Pd
1 1 1
Direct
0.000 0.000 0.000
0.250 0.250 0.250
0.500 0.500 0.500
```

Space group: No. 216
Total energy: -4.05 eV per atom

Material: ScPdAu2
Method: DFT, PBE
State: relaxed

POSCAR file:
```
ScPdAu2
1.0
0.000 3.292 3.292
3.292 0.000 3.292
3.292 3.292 0.000
Sc Pd Au
1 1 2
Direct
0.000 0.000 0.000
0.750 0.750 0.750
0.250 0.250 0.250
0.500 0.500 0.500
```

Space group: No. 216
Energy of formation: -0.64 eV per atom

Material: LaPr2Ni7Pt2
Method: DFT, PBE
State: relaxed

POSCAR file:
```
LaPr2Ni7Pt2
1.0
2.594 1.498 8.429
-2.594 1.498 8.429
0.000 -2.995 8.429
La Pr Ni Pt
1 2 7 2
Direct
0.000 0.000 0.000
0.140 0.140 0.140
0.860 0.860 0.860
0.087 0.584 0.584
0.416 0.416 0.913
0.416 0.913 0.416
0.500 0.500 0.500
0.584 0.087 0.584
0.584 0.584 0.087
0.913 0.416 0.416
0.332 0.332 0.332
0.668 0.668 0.668
```

Space group: No. 166
Energy of formation: -0.44 eV per atom

Material: YGa2Mo
Method: DFT, PBE
State: relaxed

POSCAR file:
```
YGa2Mo
1.0
0.000 3.342 3.342
3.342 0.000 3.342
3.342 3.342 0.000
Y Ga Mo
1 2 1
Direct
0.000 0.000 0.000
0.250 0.250 0.250
0.500 0.500 0.500
0.750 0.750 0.750
```

Space group: No. 216
Total energy: -5.57 eV per atom

Material: HfCdFeAs
Method: DFT, PBE
State: relaxed

POSCAR file:
```
HfCdFeAs
1.0
0.000 3.261 3.261
3.261 0.000 3.261
3.261 3.261 0.000
Hf Cd Fe As
1 1 1 1
Direct
0.000 0.000 0.000
0.750 0.750 0.750
0.500 0.500 0.500
0.250 0.250 0.250
```

Energy above the lowest structure with this stoichiometry: 0.000 eV per formula unit
Space group: No. 216

Material: TaTlHg
Method: DFT, PBE
State: relaxed

POSCAR file:
```
TaTlHg
1.0
0.000 3.349 3.349
3.349 0.000 3.349
3.349 3.349 0.000
Ta Tl Hg
1 1 1
Direct
0.000 0.000 0.000
0.250 0.250 0.250
0.750 0.750 0.750
```

Energy above the lowest structure with this stoichiometry: 0.000 eV per formula unit
Space group: No. 216

Material: PrNd2Ga2Fe4
Method: DFT, PBE
State: relaxed

POSCAR file:
```
PrNd2Ga2Fe4
1.0
5.203 -2.095 0.000
5.203 2.095 0.000
-1.499 0.000 8.087
Pr Nd Ga Fe
1 2 2 4
Direct
0.000 0.000 0.000
0.374 0.374 0.622
0.626 0.626 0.378
0.325 0.325 0.225
0.675 0.675 0.775
0.080 0.080 0.631
0.248 0.248 0.923
0.752 0.752 0.077
0.920 0.920 0.369
```

Space group: No. 12
Total energy: -6.08 eV per atom

Material: Ho2As
Method: DFT, PBE
State: relaxed

POSCAR file:
```
Ho2As
1.0
0.000 6.244 6.244
6.244 0.000 6.244
6.244 6.244 0.000
Ho As
4 2
Direct
0.000 0.000 0.000
0.000 0.000 0.500
0.000 0.500 0.000
0.500 0.000 0.000
0.125 0.125 0.125
0.875 0.875 0.875
```

Space group: No. 227
Total energy: -3.93 eV per atom

Material: BeInCoHg
Method: DFT, PBE
State: relaxed

POSCAR file:
```
BeInCoHg
1.0
0.000 3.134 3.134
3.134 0.000 3.134
3.134 3.134 0.000
Be In Co Hg
1 1 1 1
Direct
0.000 0.000 0.000
0.250 0.250 0.250
0.500 0.500 0.500
0.750 0.750 0.750
```

Energy above the lowest structure with this stoichiometry: 0.000 eV per formula unit
Space group: No. 216

Material: NaPrSe2
Method: DFT, PBE
State: relaxed

POSCAR file:
```
NaPrSe2
1.0
2.145 1.239 6.981
-2.145 1.239 6.981
0.000 -2.477 6.981
Na Pr Se
1 1 2
Direct
0.000 0.000 0.000
0.500 0.500 0.500
0.247 0.247 0.247
0.753 0.753 0.753
```

Space group: No. 166
Total energy: -4.94 eV per atom

Material: LiScFeW
Method: DFT, PBE
State: relaxed

POSCAR file:
```
LiScFeW
1.0
0.000 3.054 3.054
3.054 0.000 3.054
3.054 3.054 0.000
Li Sc Fe W
1 1 1 1
Direct
0.000 0.000 0.000
0.750 0.750 0.750
0.500 0.500 0.500
0.250 0.250 0.250
```

Energy above the lowest structure with this stoichiometry: 0.000 eV per formula unit
Space group: No. 216

Material: ZrBeAlCo
Method: DFT, PBE
State: relaxed

POSCAR file:
```
ZrBeAlCo
1.0
0.000 3.013 3.013
3.013 0.000 3.013
3.013 3.013 0.000
Zr Be Al Co
1 1 1 1
Direct
0.000 0.000 0.000
0.250 0.250 0.250
0.500 0.500 0.500
0.750 0.750 0.750
```

Energy above the lowest structure with this stoichiometry: 0.000 eV per formula unit
Space group: No. 216

Material: K2PdBr6
Method: DFT, PBE
State: relaxed

POSCAR file:
```
K2PdBr6
1.0
-3.680 3.680 5.214
3.680 -3.680 5.214
3.680 3.680 -5.214
K Pd Br
2 1 6
Direct
0.250 0.750 0.500
0.750 0.250 0.500
0.000 0.000 0.000
0.241 0.241 0.000
0.241 0.241 0.482
0.241 0.759 0.000
0.759 0.241 0.000
0.759 0.759 0.000
0.759 0.759 0.518
```

Space group: No. 139
Total energy: -2.86 eV per atom

Material: AlTlTe3Pd
Method: DFT, PBE
State: relaxed

POSCAR file:
```
AlTlTe3Pd
1.0
14.279 0.000 0.000
0.000 4.062 0.000
0.000 0.000 11.784
Al Tl Te Pd
4 4 12 4
Direct
0.024 0.250 0.135
0.476 0.750 0.635
0.524 0.250 0.365
0.976 0.750 0.865
0.207 0.250 0.459
0.293 0.750 0.959
0.707 0.250 0.041
0.793 0.750 0.541
0.065 0.750 0.650
0.105 0.250 0.926
0.139 0.750 0.223
0.361 0.250 0.723
0.395 0.750 0.426
0.435 0.250 0.150
0.565 0.750 0.850
0.605 0.250 0.574
0.639 0.750 0.277
0.861 0.250 0.777
0.895 0.750 0.074
0.935 0.250 0.350
0.044 0.750 0.421
0.456 0.250 0.921
0.544 0.750 0.079
0.956 0.250 0.579
```

Energy above the lowest structure with this stoichiometry: 0.150 eV per formula unit
Space group: No. 62

Material: BeCuAgAs
Method: DFT, PBE
State: relaxed

POSCAR file:
```
BeCuAgAs
1.0
0.000 3.103 3.103
3.103 0.000 3.103
3.103 3.103 0.000
Be Cu Ag As
1 1 1 1
Direct
0.000 0.000 0.000
0.750 0.750 0.750
0.250 0.250 0.250
0.500 0.500 0.500
```

Energy above the lowest structure with this stoichiometry: 0.302 eV per formula unit
Space group: No. 216